Density functional theory data (PBE) for an optimized crystal structure of Er2PuZrS4.

abc: 6.6110 3.8277 6.7028
angles: 90.00 109.16 90.00
Closest atoms and distances in Å follow each position.
Positions (direct):
Er  0.0000  0.0000  0.0000  6 S 2.73-2.74
Er  0.5000  0.5000  0.0000  6 S 2.69-2.70
Pu  0.0000  0.5000  0.5000  6 S 2.73-2.74
Zr  0.5000  0.0000  0.5000  6 S 2.69-2.70
S  0.2561  0.0000  0.7522  1 Zr 2.69, 3 Er 2.70-2.73, 2 Pu 2.74
S  0.2562  0.5000  0.2521  3 Er 2.69-2.74, 2 Zr 2.70, 1 Pu 2.73
S  0.7439  0.0000  0.2478  1 Zr 2.69, 3 Er 2.70-2.73, 2 Pu 2.74
S  0.7438  0.5000  0.7479  3 Er 2.69-2.74, 2 Zr 2.70, 1 Pu 2.73

- symmetry = P2/m, No. 10
- E (eV/cell) = -62.79
- spin magnetization (μB/f.u.) = 5.52

Density functional theory data (PBE) for an optimized crystal structure of ErPu2ZrS4.

abc: 6.6016 3.8585 6.7714
angles: 90.00 109.54 90.00
Closest atoms and distances in Å follow each position.
Positions (direct):
Er  0.0000  0.0000  0.0000  6 S 2.71
Pu  0.5000  0.0000  0.5000  6 S 2.75
Pu  0.5000  0.5000  0.0000  6 S 2.78-2.79
Zr  0.0000  0.5000  0.5000  6 S 2.67-2.68
S  0.2392  0.0000  0.7434  2 Zr 2.68, 1 Er 2.71, 3 Pu 2.75-2.78
S  0.2408  0.5000  0.2514  1 Zr 2.67, 2 Er 2.71, 3 Pu 2.75-2.79
S  0.7592  0.5000  0.7486  1 Zr 2.67, 2 Er 2.71, 3 Pu 2.75-2.79
S  0.7608  0.0000  0.2566  2 Zr 2.68, 1 Er 2.71, 3 Pu 2.75-2.78

- symmetry = P2/m, No. 10
- E (eV/cell) = -72.26
- spin magnetization (μB/f.u.) = 0.21

Density functional theory data (PBE) for an optimized crystal structure of ErPu2Sb3.

abc: 7.6158 7.6158 7.6158
angles: 146.41 131.80 60.03
Closest atoms and distances in Å follow each position.
Positions (direct):
Er  0.0000  0.0000  0.0000  6 Sb 3.10-3.11
Pu  0.3332  0.3332  0.0000  6 Sb 3.11-3.12
Pu  0.6668  0.6668  0.0000  6 Sb 3.11-3.12
Sb  0.1656  0.6656  0.5000  2 Er 3.10, 4 Pu 3.11-3.12
Sb  0.5000  0.0000  0.5000  2 Er 3.11, 4 Pu 3.11
Sb  0.8344  0.3344  0.5000  2 Er 3.10, 4 Pu 3.11-3.12

- symmetry = Immm, No. 71
- E (eV/cell) = -50.14
- spin magnetization (μB/f.u.) = 10.09

Density functional theory data (PBE) for an optimized crystal structure of ErPu3Sb4.

abc: 7.6243 8.8182 7.6372
angles: 90.00 109.49 90.00
Closest atoms and distances in Å follow each position.
Positions (direct):
Er  0.0000  0.1247  0.2500  6 Sb 3.09-3.11
Er  0.0000  0.8753  0.7500  6 Sb 3.09-3.11
Pu  0.0000  0.3736  0.7500  6 Sb 3.11-3.12
Pu  0.0000  0.6264  0.2500  6 Sb 3.11-3.12
Pu  0.5000  0.1243  0.7500  6 Sb 3.11-3.13
Pu  0.5000  0.3739  0.2500  6 Sb 3.12-3.13
Pu  0.5000  0.6261  0.7500  6 Sb 3.12-3.13
Pu  0.5000  0.8757  0.2500  6 Sb 3.11-3.13
Sb  0.2472  0.1232  0.9991  2 Er 3.09-3.10, 4 Pu 3.11-3.13
Sb  0.2472  0.8768  0.4991  2 Er 3.09-3.10, 4 Pu 3.11-3.13
Sb  0.2485  0.3744  0.4989  1 Er 3.11, 5 Pu 3.11-3.13
Sb  0.2485  0.6256  0.9989  1 Er 3.11, 5 Pu 3.11-3.13
Sb  0.7515  0.3744  0.0011  1 Er 3.11, 5 Pu 3.11-3.13
Sb  0.7515  0.6256  0.5011  1 Er 3.11, 5 Pu 3.11-3.13
Sb  0.7528  0.1232  0.5009  2 Er 3.09-3.10, 4 Pu 3.11-3.13
Sb  0.7528  0.8768  0.0009  2 Er 3.09-3.10, 4 Pu 3.11-3.13

- symmetry = P2/c, No. 13
- E (eV/cell) = -139.34
- spin magnetization (μB/f.u.) = 5.21

Density functional theory data (PBE) for an optimized crystal structure of Er3PuSb4.

abc: 6.1808 6.1808 6.1808
angles: 90.00 90.00 90.00
Closest atoms and distances in Å follow each position.
Positions (direct):
Er  0.0000  0.0000  0.5000  6 Sb 3.09
Er  0.0000  0.5000  0.0000  6 Sb 3.09
Er  0.5000  0.0000  0.0000  6 Sb 3.09
Pu  0.5000  0.5000  0.5000  6 Sb 3.09
Sb  0.0000  0.0000  0.0000  6 Er 3.09
Sb  0.0000  0.5000  0.5000  4 Er 3.09, 2 Pu 3.09
Sb  0.5000  0.0000  0.5000  4 Er 3.09, 2 Pu 3.09
Sb  0.5000  0.5000  0.0000  4 Er 3.09, 2 Pu 3.09

- symmetry = Pm-3m, No. 221
- E (eV/cell) = -52.17
- spin magnetization (μB/f.u.) = 5.09

Density functional theory data (PBE) for an optimized crystal structure of Er5PuSb4.

abc: 9.5238 9.5238 8.3440
angles: 105.42 105.42 26.10
Closest atoms and distances in Å follow each position.
Positions (direct):
Er  0.0000  0.0000  0.0000  4 Sb 2.97
Er  0.3210  0.3210  0.1479  3 Sb 3.03-3.05
Er  0.3387  0.3387  0.6792  4 Sb 2.99-3.07
Er  0.6613  0.6613  0.3208  4 Sb 2.99-3.07
Er  0.6790  0.6790  0.8521  3 Sb 3.03-3.05
Pu  0.0000  0.0000  0.5000  6 Sb 3.03-3.06
Sb  0.1715  0.1715  0.5888  5 Er 2.99-3.07, 1 Pu 3.06
Sb  0.4905  0.4905  0.2386  4 Er 2.97-3.05, 2 Pu 3.03
Sb  0.5095  0.5095  0.7614  4 Er 2.97-3.05, 2 Pu 3.03
Sb  0.8285  0.8285  0.4112  5 Er 2.99-3.07, 1 Pu 3.06

- symmetry = C2/m, No. 12
- E (eV/cell) = -59.54
- spin magnetization (μB/f.u.) = 5.74

Density functional theory data (PBE) for an optimized crystal structure of ErPu4Sb5.

abc: 11.6848 11.6848 11.6848
angles: 158.26 149.04 38.15
Closest atoms and distances in Å follow each position.
Positions (direct):
Er  0.0000  0.0000  0.0000  6 Sb 3.10-3.12
Pu  0.1992  0.1992  0.0000  6 Sb 3.12-3.13
Pu  0.4012  0.4012  0.0000  6 Sb 3.10-3.14
Pu  0.5988  0.5988  0.0000  6 Sb 3.10-3.14
Pu  0.8008  0.8008  0.0000  6 Sb 3.12-3.13
Sb  0.0987  0.5987  0.5000  2 Er 3.10, 4 Pu 3.12-3.13
Sb  0.3000  0.8000  0.5000  6 Pu 3.12-3.14
Sb  0.5000  0.0000  0.5000  4 Pu 3.10, 2 Er 3.12
Sb  0.7000  0.2000  0.5000  6 Pu 3.12-3.14
Sb  0.9013  0.4013  0.5000  2 Er 3.10, 4 Pu 3.12-3.13

- symmetry = Immm, No. 71
- E (eV/cell) = -89.24
- spin magnetization (μB/f.u.) = 0.07

Density functional theory data (PBE) for an optimized crystal structure of Er5PuSb6.

abc: 7.5629 7.5629 7.5635
angles: 99.60 99.60 119.97
Closest atoms and distances in Å follow each position.
Positions (direct):
Er  0.0000  0.0000  0.0000  6 Sb 3.07-3.09
Er  0.1670  0.8330  0.5000  6 Sb 3.08-3.09
Er  0.3344  0.6656  0.0000  6 Sb 3.08-3.09
Er  0.6656  0.3344  0.0000  6 Sb 3.08-3.09
Er  0.8330  0.1670  0.5000  6 Sb 3.08-3.09
Pu  0.5000  0.5000  0.5000  6 Sb 3.10-3.11
Sb  0.0805  0.4159  0.2479  5 Er 3.08-3.09, 1 Pu 3.11
Sb  0.2478  0.2478  0.7503  5 Er 3.07-3.08, 1 Pu 3.10
Sb  0.4159  0.0805  0.2479  5 Er 3.08-3.09, 1 Pu 3.11
Sb  0.5841  0.9195  0.7521  5 Er 3.08-3.09, 1 Pu 3.11
Sb  0.7522  0.7522  0.2497  5 Er 3.07-3.08, 1 Pu 3.10
Sb  0.9195  0.5841  0.7521  5 Er 3.08-3.09, 1 Pu 3.11

- symmetry = C2/m, No. 12
- E (eV/cell) = -73.92
- spin magnetization (μB/f.u.) = 5.06